[1]
{
  "formula": "LiFe2Os",
  "functional": "GGA-PBE",
  "state": "relaxed",
  "dos_at_fermi_per_ev_atom": 0.688,
  "crystal_system": "cubic",
  "formation_enthalpy_0k_mev_per_atom": 265,
  "lattice_angstrom": [[4.034, 0.000, 0.000], [2.017, 3.493, 0.000], [2.017, 1.164, 3.294]],
  "species": ["Fe", "Fe", "Li", "Os"],
  "frac_coords": [[0.000, 0.000, 0.000], [0.750, 0.750, 0.750], [0.500, 0.500, 0.500], [0.250, 0.250, 0.250]]
}

[2]
{
  "formula": "LiFe2Os",
  "functional": "GGA-PBE",
  "state": "relaxed",
  "dos_at_fermi_per_ev_atom": 1.002,
  "crystal_system": "tetragonal",
  "formation_enthalpy_0k_mev_per_atom": 726,
  "lattice_angstrom": [[-0.800, -5.874, -2.777], [4.169, 1.681, -4.758], [3.578, -2.989, -2.424]],
  "species": ["Os", "Os", "Fe", "Fe", "Fe", "Fe", "Li", "Li"],
  "frac_coords": [[0.000, 0.000, 0.000], [0.750, 0.250, 0.500], [0.618, 0.125, 0.250], [0.132, 0.625, 0.250], [0.375, 0.382, 0.750], [0.875, 0.868, 0.750], [0.500, 0.500, 0.000], [0.250, 0.750, 0.500]]
}

[3]
{
  "formula": "LiFeOs",
  "functional": "GGA-PBE",
  "state": "relaxed",
  "dos_at_fermi_per_ev_atom": 0.647,
  "crystal_system": "orthorhombic",
  "formation_enthalpy_0k_mev_per_atom": 223,
  "e_above_lowest_polymorph_ev_per_fu": 0.000,
  "lattice_angstrom": [[-0.630, -2.284, -1.159], [1.409, 0.003, 2.229], [-11.327, -0.513, 7.160]],
  "species": ["Os", "Os", "Fe", "Fe", "Li", "Li"],
  "frac_coords": [[0.610, 0.220, 0.000], [0.279, 0.558, 0.500], [0.612, 0.225, 0.342], [0.612, 0.225, 0.658], [0.277, 0.553, 0.830], [0.277, 0.553, 0.170]]
}

[4]
{
  "formula": "Li2FeOs",
  "functional": "GGA-PBE",
  "state": "relaxed",
  "dos_at_fermi_per_ev_atom": 0.465,
  "crystal_system": "orthorhombic",
  "formation_enthalpy_0k_mev_per_atom": 293,
  "e_above_lowest_polymorph_ev_per_fu": 0.515,
  "lattice_angstrom": [[2.464, 0.000, 0.000], [0.000, 4.369, 0.000], [0.000, 0.000, 4.995]],
  "species": ["Fe", "Li", "Li", "Os"],
  "frac_coords": [[0.500, 0.500, 0.750], [0.000, 0.000, 0.010], [0.000, 0.000, 0.490], [0.500, 0.500, 0.250]]
}

[5]
{
  "formula": "LiFe2Os",
  "functional": "GGA-PBE",
  "state": "relaxed",
  "dos_at_fermi_per_ev_atom": 0.927,
  "crystal_system": "orthorhombic",
  "formation_enthalpy_0k_mev_per_atom": 275,
  "lattice_angstrom": [[-0.658, -1.560, -1.946], [3.571, -0.349, -0.928], [0.415, -4.071, 3.122]],
  "species": ["Fe", "Fe", "Li", "Os"],
  "frac_coords": [[0.000, 0.000, 0.986], [0.500, 0.500, 0.259], [0.000, 0.000, 0.488], [0.500, 0.500, 0.768]]
}

[6]
{
  "formula": "LiFe2Os",
  "functional": "GGA-PBE",
  "state": "relaxed",
  "dos_at_fermi_per_ev_atom": 0.918,
  "crystal_system": "tetragonal",
  "formation_enthalpy_0k_mev_per_atom": 332,
  "lattice_angstrom": [[-2.779, 2.248, 1.007], [-2.404, -2.545, -0.954], [0.113, -1.366, 3.360]],
  "species": ["Fe", "Fe", "Li", "Os"],
  "frac_coords": [[0.000, 0.000, 0.000], [0.000, 0.500, 0.500], [0.500, 0.500, 0.000], [0.500, 0.000, 0.500]]
}

[7]
{
  "formula": "LiFe2Os",
  "functional": "GGA-PBE",
  "state": "relaxed",
  "dos_at_fermi_per_ev_atom": 0.910,
  "crystal_system": "orthorhombic",
  "formation_enthalpy_0k_mev_per_atom": 181,
  "lattice_angstrom": [[-1.295, 2.943, -3.224], [-2.475, -3.817, -0.200], [-1.718, 1.029, 1.629]],
  "species": ["Fe", "Fe", "Li", "Os"],
  "frac_coords": [[0.000, 0.000, 0.000], [0.500, 0.500, 0.000], [0.500, 0.000, 0.500], [0.000, 0.500, 0.500]]
}

[8]
{
  "formula": "Li2FeOs",
  "functional": "GGA-PBE",
  "state": "relaxed",
  "dos_at_fermi_per_ev_atom": 0.894,
  "crystal_system": "tetragonal",
  "formation_enthalpy_0k_mev_per_atom": 359,
  "e_above_lowest_polymorph_ev_per_fu": 0.779,
  "lattice_angstrom": [[4.987, -0.037, 0.000], [2.656, 4.220, 0.000], [-3.822, -2.092, 2.427]],
  "species": ["Fe", "Li", "Li", "Os"],
  "frac_coords": [[0.750, 0.250, 0.500], [0.000, 0.000, 0.000], [0.500, 0.500, 0.000], [0.250, 0.750, 0.500]]
}

[9]
{
  "formula": "Li2FeOs",
  "functional": "GGA-PBE",
  "state": "relaxed",
  "dos_at_fermi_per_ev_atom": 0.827,
  "crystal_system": "tetragonal",
  "formation_enthalpy_0k_mev_per_atom": 356,
  "e_above_lowest_polymorph_ev_per_fu": 0.766,
  "lattice_angstrom": [[4.328, 0.000, 0.000], [0.000, 3.460, 0.000], [0.000, 0.000, 3.460]],
  "species": ["Fe", "Li", "Li", "Os"],
  "frac_coords": [[0.500, 0.000, 0.500], [0.000, 0.000, 0.000], [0.000, 0.500, 0.500], [0.500, 0.500, 0.000]]
}

[10]
{
  "formula": "Li2FeOs",
  "functional": "GGA-PBE",
  "state": "relaxed",
  "dos_at_fermi_per_ev_atom": 0.908,
  "crystal_system": "orthorhombic",
  "formation_enthalpy_0k_mev_per_atom": 382,
  "e_above_lowest_polymorph_ev_per_fu": 0.868,
  "lattice_angstrom": [[-1.974, -0.763, 4.678], [0.146, -4.716, 2.026], [2.335, 4.225, -1.750]],
  "species": ["Fe", "Li", "Li", "Os"],
  "frac_coords": [[0.245, 0.745, 0.500], [0.997, 0.997, 0.000], [0.760, 0.260, 0.500], [0.498, 0.498, 0.000]]
}

[11]
{
  "formula": "Li3FeOs",
  "functional": "GGA-PBE",
  "state": "relaxed",
  "dos_at_fermi_per_ev_atom": 1.449,
  "crystal_system": "cubic",
  "formation_enthalpy_0k_mev_per_atom": 1454,
  "e_above_lowest_polymorph_ev_per_fu": 0.000,
  "lattice_angstrom": [[-2.281, 3.471, 0.603], [-3.403, -1.985, -1.448], [-0.912, -1.276, 3.893]],
  "species": ["Os", "Fe", "Li", "Li", "Li"],
  "frac_coords": [[0.500, 0.500, 0.500], [0.000, 0.000, 0.000], [0.000, 0.500, 0.000], [0.000, 0.000, 0.500], [0.500, 0.000, 0.000]]
}

[12]
{
  "formula": "Li2FeOs",
  "functional": "GGA-PBE",
  "state": "relaxed",
  "dos_at_fermi_per_ev_atom": 0.805,
  "crystal_system": "orthorhombic",
  "formation_enthalpy_0k_mev_per_atom": 193,
  "e_above_lowest_polymorph_ev_per_fu": 0.112,
  "lattice_angstrom": [[5.240, 0.004, 0.007], [2.748, 4.461, -0.007], [-3.388, -3.316, 2.231]],
  "species": ["Fe", "Li", "Li", "Os"],
  "frac_coords": [[0.250, 0.750, 0.500], [0.006, 0.006, 0.000], [0.494, 0.494, 0.000], [0.750, 0.250, 0.500]]
}

[13]
{
  "formula": "LiFe2Os",
  "functional": "GGA-PBE",
  "state": "relaxed",
  "dos_at_fermi_per_ev_atom": 0.661,
  "crystal_system": "monoclinic",
  "formation_enthalpy_0k_mev_per_atom": 206,
  "lattice_angstrom": [[4.222, 0.000, 0.000], [0.000, 2.514, -0.100], [0.000, 0.707, 4.716]],
  "species": ["Fe", "Fe", "Li", "Os"],
  "frac_coords": [[0.000, 0.032, 0.987], [0.500, 0.237, 0.264], [0.000, 0.504, 0.483], [0.500, 0.727, 0.766]]
}

[14]
{
  "formula": "Li2FeOs",
  "functional": "GGA-PBE",
  "state": "relaxed",
  "dos_at_fermi_per_ev_atom": 1.146,
  "crystal_system": "tetragonal",
  "formation_enthalpy_0k_mev_per_atom": 836,
  "e_above_lowest_polymorph_ev_per_fu": 2.684,
  "lattice_angstrom": [[6.657, 0.000, 0.000], [0.000, 6.657, 0.000], [3.328, 3.328, 2.367]],
  "species": ["Os", "Os", "Fe", "Fe", "Li", "Li", "Li", "Li"],
  "frac_coords": [[0.000, 0.000, 0.000], [0.750, 0.250, 0.500], [0.500, 0.500, 0.000], [0.250, 0.750, 0.500], [0.614, 0.125, 0.250], [0.136, 0.625, 0.250], [0.375, 0.386, 0.750], [0.875, 0.864, 0.750]]
}

[15]
{
  "formula": "Li2FeOs",
  "functional": "GGA-PBE",
  "state": "relaxed",
  "dos_at_fermi_per_ev_atom": 0.631,
  "crystal_system": "tetragonal",
  "formation_enthalpy_0k_mev_per_atom": 222,
  "e_above_lowest_polymorph_ev_per_fu": 0.229,
  "lattice_angstrom": [[2.773, 0.000, 0.000], [0.000, 2.773, 0.000], [0.000, 0.000, 7.241]],
  "species": ["Fe", "Li", "Li", "Os"],
  "frac_coords": [[0.500, 0.500, 0.729], [0.000, 0.000, 0.974], [0.500, 0.500, 0.267], [0.000, 0.000, 0.531]]
}